[1]
Material: AgPdI2N
Method: DFT, PBE
State: relaxed

a b c (Å): 5.7515 5.7515 4.0583
angles (deg): 90.00 90.00 90.00
Atoms (fractional coordinates):
Ag1 0.0000 0.0000 0.0000
Pd1 0.5000 0.5000 0.5000
I1 0.0000 0.5000 0.0000
I2 0.5000 0.0000 0.0000
N1 0.0000 0.0000 0.5000

Properties
Formation energy without anion corrections = 1.13 eV per atom
Space-group type = No. 123
E above lowest polymorph = 522 meV per atom

***

[2]
Material: AgPdIN2
Method: DFT, PBE
State: relaxed

a b c (Å): 4.0384 4.0384 7.1849
angles (deg): 90.00 90.00 90.00
Atoms (fractional coordinates):
Ag1 0.0000 0.0000 0.0000
Pd1 0.5000 0.5000 0.5000
I1 0.0000 0.0000 0.5000
N1 0.0000 0.5000 0.0000
N2 0.5000 0.0000 0.0000

Properties
Formation energy without anion corrections = 1.72 eV per atom
Space-group type = No. 123
E above lowest polymorph = 367 meV per atom

***

[3]
Material: Ag2PdIN
Method: DFT, PBE
State: relaxed

a b c (Å): 5.5041 5.5041 5.0604
angles (deg): 90.00 90.00 90.00
Atoms (fractional coordinates):
Ag1 0.0000 0.5000 0.0000
Ag2 0.5000 0.0000 0.0000
Pd1 0.0000 0.0000 0.5000
I1 0.0000 0.0000 0.0000
N1 0.5000 0.5000 0.5000

Properties
Formation energy without anion corrections = 1.57 eV per atom
Space-group type = No. 123

***

[4]
Material: AgPtI2N
Method: DFT, PBE
State: relaxed

a b c (Å): 5.7534 5.7534 3.8039
angles (deg): 90.00 90.00 90.00
Atoms (fractional coordinates):
Ag1 0.0000 0.0000 0.0000
Pt1 0.5000 0.5000 0.5000
I1 0.0000 0.5000 0.0000
I2 0.5000 0.0000 0.0000
N1 0.0000 0.0000 0.5000

Properties
Formation energy without anion corrections = 1.50 eV per atom
Space-group type = No. 123
E above lowest polymorph = 1024 meV per atom

***

[5]
Material: AgPtI2N
Method: DFT, PBE
State: relaxed

a b c (Å): 5.7857 5.7857 3.7405
angles (deg): 90.00 90.00 90.00
Atoms (fractional coordinates):
Ag1 0.0000 0.0000 0.0000
Pt1 0.5000 0.5000 0.5000
I1 0.0000 0.5000 0.5000
I2 0.5000 0.0000 0.5000
N1 0.5000 0.5000 0.0000

Properties
Formation energy without anion corrections = 0.47 eV per atom
Space-group type = No. 123
E above lowest polymorph = 0 meV per atom

***

[6]
Material: RbAgIN2
Method: DFT, PBE
State: relaxed

a b c (Å): 4.6929 4.6929 6.2889
angles (deg): 90.00 90.00 90.00
Atoms (fractional coordinates):
Rb1 0.0000 0.0000 0.0000
Ag1 0.5000 0.5000 0.5000
I1 0.5000 0.5000 0.0000
N1 0.0000 0.5000 0.5000
N2 0.5000 0.0000 0.5000

Properties
Formation energy without anion corrections = 1.22 eV per atom
Space-group type = No. 123
E above lowest polymorph = 0 meV per atom

***

[7]
Material: Rb2AgI6N
Method: DFT, PBE
State: relaxed

a b c (Å): 7.8985 7.8985 7.8985
angles (deg): 60.00 60.00 60.00
Atoms (fractional coordinates):
Rb1 0.2500 0.2500 0.2500
Rb2 0.7500 0.7500 0.7500
Ag1 0.0000 0.0000 0.0000
I1 0.2631 0.2631 0.7369
I2 0.2631 0.7369 0.2631
I3 0.2631 0.7369 0.7369
I4 0.7369 0.2631 0.2631
I5 0.7369 0.2631 0.7369
I6 0.7369 0.7369 0.2631
N1 0.5000 0.5000 0.5000

Properties
Formation energy without anion corrections = -0.19 eV per atom
Space-group type = No. 225

***

[8]
Material: RbAgIN2
Method: DFT, PBE
State: relaxed

a b c (Å): 5.2523 5.2523 7.3842
angles (deg): 90.00 90.00 90.00
Atoms (fractional coordinates):
Rb1 0.0000 0.0000 0.0000
Ag1 0.5000 0.5000 0.5000
I1 0.0000 0.0000 0.5000
N1 0.0000 0.5000 0.0000
N2 0.5000 0.0000 0.0000

Properties
Formation energy without anion corrections = 1.86 eV per atom
Space-group type = No. 123
E above lowest polymorph = 641 meV per atom

***

[9]
Material: ReAgI2N
Method: DFT, PBE
State: relaxed

a b c (Å): 5.6242 5.6242 3.7798
angles (deg): 90.00 90.00 90.00
Atoms (fractional coordinates):
Re1 0.0000 0.0000 0.0000
Ag1 0.5000 0.5000 0.5000
I1 0.0000 0.5000 0.0000
I2 0.5000 0.0000 0.0000
N1 0.0000 0.0000 0.5000

Properties
Formation energy without anion corrections = 0.46 eV per atom
Space-group type = No. 123
E above lowest polymorph = 0 meV per atom

***

[10]
Material: ReAgI2N
Method: DFT, PBE
State: relaxed

a b c (Å): 5.9321 5.9321 3.8712
angles (deg): 90.00 90.00 90.00
Atoms (fractional coordinates):
Re1 0.0000 0.0000 0.0000
Ag1 0.5000 0.5000 0.5000
I1 0.0000 0.5000 0.5000
I2 0.5000 0.0000 0.5000
N1 0.5000 0.5000 0.0000

Properties
Formation energy without anion corrections = 2.02 eV per atom
Space-group type = No. 123
E above lowest polymorph = 1552 meV per atom

***

[11]
Material: Ag2RhIN
Method: DFT, PBE
State: relaxed

a b c (Å): 5.3189 5.3189 4.9433
angles (deg): 90.00 90.00 90.00
Atoms (fractional coordinates):
Ag1 0.0000 0.5000 0.0000
Ag2 0.5000 0.0000 0.0000
Rh1 0.0000 0.0000 0.0000
I1 0.0000 0.0000 0.5000
N1 0.5000 0.5000 0.5000

Properties
Formation energy without anion corrections = 1.49 eV per atom
Space-group type = No. 123

***

[12]
Material: AgRhIN2
Method: DFT, PBE
State: relaxed

a b c (Å): 4.0031 4.0031 7.2197
angles (deg): 90.00 90.00 90.00
Atoms (fractional coordinates):
Ag1 0.0000 0.0000 0.0000
Rh1 0.5000 0.5000 0.5000
I1 0.0000 0.0000 0.5000
N1 0.0000 0.5000 0.0000
N2 0.5000 0.0000 0.0000

Properties
Formation energy without anion corrections = 1.98 eV per atom
Space-group type = No. 123
E above lowest polymorph = 954 meV per atom

***

Volume across the listed records, respectively: 26.849, 23.435, 30.661, 25.183, 25.043, 27.701, 34.844, 40.740, 23.913, 27.246, 27.970, 23.139 Å³ per atom.